No. 1
KYAuSe3 | PBE | optimized geometry

Theoretical density   5.56 g/cm3
Excess energy over the best structure of this formula in the dataset   0 meV/atom
Space-group type   No. 63
Volume   27.96 Å³/atom

Cell and atoms, written as POSCAR:
```
KYAuSe3
1.0
2.043 -7.666 0.000
2.043 7.666 0.000
0.000 0.000 10.709
Au Se Y K
2 6 2 2
Direct
0.033 0.967 0.750 Au
0.967 0.033 0.250 Au
0.422 0.578 0.750 Se
0.871 0.129 0.051 Se
0.129 0.871 0.949 Se
0.871 0.129 0.449 Se
0.578 0.422 0.250 Se
0.129 0.871 0.551 Se
0.500 0.500 0.500 Y
0.500 0.500 0.000 Y
0.743 0.257 0.750 K
0.257 0.743 0.250 K
```

No. 2
K4Si2Au7 | PBE | optimized geometry

Theoretical density   7.76 g/cm3
Space-group type   No. 166
Volume   26.20 Å³/atom
Uncorrected energy   -3.305 eV/atom

Cell and atoms, written as POSCAR:
```
K4Si2Au7
1.0
0.901 5.733 8.185
5.935 1.628 7.925
5.889 6.955 4.198
Au K Si
7 4 2
Direct
0.771 0.771 0.209 Au
0.771 0.209 0.771 Au
0.000 0.000 0.000 Au
0.209 0.771 0.771 Au
0.229 0.791 0.229 Au
0.229 0.229 0.791 Au
0.791 0.229 0.229 Au
0.190 0.190 0.190 K
0.317 0.317 0.317 K
0.810 0.810 0.810 K
0.683 0.683 0.683 K
0.457 0.457 0.457 Si
0.543 0.543 0.543 Si
```

No. 3
KSiTe3Au | PBE | optimized geometry

Theoretical density   5.93 g/cm3
Space-group type   No. 63
Volume   30.21 Å³/atom
Uncorrected energy   -3.418 eV/atom

Cell and atoms, written as POSCAR:
```
KSiTe3Au
1.0
8.432 -1.889 0.000
8.432 1.889 0.000
0.000 0.000 11.380
Te Si Au K
6 2 2 2
Direct
0.459 0.459 0.250 Te
0.541 0.541 0.750 Te
0.882 0.882 0.519 Te
0.118 0.118 0.481 Te
0.882 0.882 0.981 Te
0.118 0.118 0.019 Te
0.500 0.500 0.500 Si
0.500 0.500 0.000 Si
0.893 0.893 0.750 Au
0.107 0.107 0.250 Au
0.230 0.230 0.750 K
0.770 0.770 0.250 K
```

No. 4
K4SmAu3 | PBE | optimized geometry

Theoretical density   4.28 g/cm3
Space-group type   No. 139
Volume   43.49 Å³/atom
Uncorrected energy   -2.073 eV/atom

Cell and atoms, written as POSCAR:
```
K4SmAu3
1.0
3.552 -7.741 -1.517
1.420 -4.144 7.460
-7.000 3.923 -3.234
Sm Au K
1 3 4
Direct
0.000 0.000 0.000 Sm
0.250 0.750 0.500 Au
0.500 0.500 0.000 Au
0.750 0.250 0.500 Au
0.279 0.279 0.000 K
0.500 0.000 0.500 K
0.721 0.721 0.000 K
0.000 0.500 0.500 K
```

No. 5
KSmTe3Au | PBE | optimized geometry

Theoretical density   6.23 g/cm3
Space-group type   No. 63
Volume   34.18 Å³/atom
Uncorrected energy   -4.011 eV/atom

Cell and atoms, written as POSCAR:
```
KSmTe3Au
1.0
2.161 -8.330 0.000
2.161 8.330 0.000
0.000 0.000 11.397
Te Au Sm K
6 2 2 2
Direct
0.919 0.081 0.750 Te
0.631 0.369 0.559 Te
0.081 0.919 0.250 Te
0.631 0.369 0.941 Te
0.369 0.631 0.059 Te
0.369 0.631 0.441 Te
0.472 0.528 0.250 Au
0.528 0.472 0.750 Au
0.000 0.000 0.000 Sm
0.000 0.000 0.500 Sm
0.242 0.758 0.750 K
0.758 0.242 0.250 K
```

No. 6
KSn2Au2 | PBE | optimized geometry

Theoretical density   7.98 g/cm3
Excess energy over the best structure of this formula in the dataset   0 meV/atom
Space-group type   No. 139
Volume   27.90 Å³/atom

Cell and atoms, written as POSCAR:
```
KSn2Au2
1.0
-1.862 -5.178 3.660
1.705 0.285 6.379
-2.972 4.068 -4.277
K Au Sn
1 2 2
Direct
0.000 0.000 0.000 K
0.750 0.250 0.500 Au
0.250 0.750 0.500 Au
0.363 0.363 0.000 Sn
0.637 0.637 0.000 Sn
```

No. 7
KSn2Au2 | PBE | optimized geometry

Theoretical density   8.10 g/cm3
Excess energy over the best structure of this formula in the dataset   17 meV/atom
Space-group type   No. 139
Volume   27.49 Å³/atom

Cell and atoms, written as POSCAR:
```
KSn2Au2
1.0
3.452 -3.452 0.000
3.452 3.452 0.000
-3.452 0.000 5.767
Au Sn K
2 2 1
Direct
0.377 0.377 0.753 Au
0.623 0.623 0.247 Au
0.750 0.250 0.500 Sn
0.250 0.750 0.500 Sn
0.000 0.000 0.000 K
```

No. 8
KSnTe4Au3 | PBE | optimized geometry

Theoretical density   7.06 g/cm3
Excess energy over the best structure of this formula in the dataset   0 meV/atom
Space-group type   No. 11
Volume   32.90 Å³/atom

Cell and atoms, written as POSCAR:
```
KSnTe4Au3
1.0
6.593 0.000 0.000
0.000 8.298 0.000
-3.253 0.000 10.824
Sn Te Au K
2 8 6 2
Direct
0.577 0.250 0.286 Sn
0.423 0.750 0.714 Sn
0.159 0.477 0.731 Te
0.730 0.750 0.955 Te
0.270 0.250 0.045 Te
0.159 0.023 0.731 Te
0.841 0.523 0.269 Te
0.467 0.750 0.459 Te
0.841 0.977 0.269 Te
0.533 0.250 0.541 Te
0.905 0.750 0.765 Au
0.823 0.936 0.535 Au
0.177 0.436 0.465 Au
0.095 0.250 0.235 Au
0.177 0.064 0.465 Au
0.823 0.564 0.535 Au
0.714 0.250 0.917 K
0.286 0.750 0.083 K
```

No. 9
KSnTe4Au3 | PBE | optimized geometry

Theoretical density   6.22 g/cm3
Excess energy over the best structure of this formula in the dataset   146 meV/atom
Space-group type   No. 215
Volume   37.34 Å³/atom

Cell and atoms, written as POSCAR:
```
KSnTe4Au3
1.0
-5.702 -3.912 -0.721
3.667 -4.682 -3.601
1.541 -3.334 5.903
Au K Te Sn
3 1 4 1
Direct
0.500 0.500 0.000 Au
0.000 0.500 0.500 Au
0.500 0.000 0.500 Au
0.000 0.000 0.000 K
0.272 0.272 0.272 Te
0.728 0.728 0.272 Te
0.272 0.728 0.728 Te
0.728 0.272 0.728 Te
0.500 0.500 0.500 Sn
```

No. 10
KSrAu | PBE | optimized geometry

Theoretical density   4.62 g/cm3
Space-group type   No. 216
Volume   38.81 Å³/atom
Uncorrected energy   -2.355 eV/atom

Cell and atoms, written as POSCAR:
```
KSrAu
1.0
1.975 1.415 4.913
-2.011 4.384 2.603
-3.084 -0.650 4.484
Au K Sr
1 1 1
Direct
0.000 0.000 0.000 Au
0.250 0.250 0.250 K
0.750 0.750 0.750 Sr
```

No. 11
KTbTe3Au | PBE | optimized geometry

Theoretical density   6.26 g/cm3
Space-group type   No. 62
Volume   34.38 Å³/atom
Uncorrected energy   -3.978 eV/atom

Cell and atoms, written as POSCAR:
```
KTbTe3Au
1.0
16.576 0.000 0.000
0.000 4.318 0.000
0.000 0.000 11.529
K Te Tb Au
4 12 4 4
Direct
0.732 0.750 0.045 K
0.268 0.250 0.955 K
0.232 0.750 0.455 K
0.768 0.250 0.545 K
0.642 0.250 0.258 Te
0.601 0.750 0.578 Te
0.358 0.750 0.742 Te
0.858 0.750 0.758 Te
0.899 0.250 0.078 Te
0.908 0.750 0.381 Te
0.142 0.250 0.242 Te
0.592 0.250 0.881 Te
0.101 0.750 0.922 Te
0.399 0.250 0.422 Te
0.092 0.250 0.619 Te
0.408 0.750 0.119 Te
0.520 0.750 0.337 Tb
0.020 0.750 0.163 Tb
0.480 0.250 0.663 Tb
0.980 0.250 0.837 Tb
0.986 0.750 0.606 Au
0.014 0.250 0.394 Au
0.514 0.250 0.106 Au
0.486 0.750 0.894 Au
```

No. 12
KTbTe4Au3 | PBE | optimized geometry

Theoretical density   6.56 g/cm3
Space-group type   No. 215
Volume   36.54 Å³/atom
Uncorrected energy   -3.583 eV/atom

Cell and atoms, written as POSCAR:
```
KTbTe4Au3
1.0
-6.463 -2.277 -0.834
2.339 -5.227 -3.854
0.640 -3.891 5.665
Au Tb Te K
3 1 4 1
Direct
0.000 0.500 0.500 Au
0.500 0.000 0.500 Au
0.500 0.500 0.000 Au
0.500 0.500 0.500 Tb
0.737 0.737 0.263 Te
0.263 0.263 0.263 Te
0.263 0.737 0.737 Te
0.737 0.263 0.737 Te
0.000 0.000 0.000 K
```

Q: volume of number 12 (KTbTe4Au3)?
A: 36.54 Å³/atom

What did the fourth record say?
K4SmAu3 | PBE | optimized geometry

Theoretical density   4.28 g/cm3
Space-group type   No. 139
Volume   43.49 Å³/atom
Uncorrected energy   -2.073 eV/atom

Cell and atoms, written as POSCAR:
```
K4SmAu3
1.0
3.552 -7.741 -1.517
1.420 -4.144 7.460
-7.000 3.923 -3.234
Sm Au K
1 3 4
Direct
0.000 0.000 0.000 Sm
0.250 0.750 0.500 Au
0.500 0.500 0.000 Au
0.750 0.250 0.500 Au
0.279 0.279 0.000 K
0.500 0.000 0.500 K
0.721 0.721 0.000 K
0.000 0.500 0.500 K
```

Q: Which of these has the lowest theoretical density?
A: K4SmAu3